Record 1
A plane-wave DFT calculation with GGA-PBE was carried out for a relaxed structure of Na12Zn5Pb3.

Unit cell a=18.0259 b=18.0259 c=18.0259 alpha=90.00 beta=90.00 gamma=90.00
With the nearest neighbours (Å) after each atom.
Space group Ia-3d (No. 230)
Unique sites:
Na 0.0132 0.0754 0.6530 x96  2 Zn 2.99-3.08, 2 Pb 3.20-3.33, 1 Na 3.33
Zn 0.0000 0.0000 0.0000 x16  6 Na 3.08
Zn 0.0000 0.2500 0.3750 x24  4 Na 2.99
Pb 0.0000 0.2500 0.1250 x24  8 Na 3.20-3.33

The formation energy is 0.2052 eV/atom. The total magnetization is 0.00 μB per cell. As for the density of states at the Fermi level: 0.53 states/eV per atom.

Record 2
A plane-wave DFT calculation with GGA-PBE was carried out for a relaxed structure of Na2Zn2Pb.

Unit cell a=4.4032 b=4.4032 c=13.1213 alpha=90.00 beta=90.00 gamma=90.00
With the nearest neighbours (Å) after each atom.
Space group I4/mmm (No. 139)
Unique sites:
Na 0.0000 0.5000 0.2500 x4  4 Zn 3.01, 4 Na 3.11
Zn 0.0000 0.0000 0.0935 x4  1 Zn 2.45
Pb 0.0000 0.0000 0.5000 x2  8 Zn 3.35

The formation energy is 0.1478 eV/atom. The total magnetization is 0.00 μB per cell. As for the density of states at the Fermi level: 0.48 states/eV per atom. The calculation puts the energy relative to the lowest polymorph listed for this composition at 13.92 kJ/mol of atoms.

Record 3
A plane-wave DFT calculation with GGA-PBE was carried out for a relaxed structure of NaZn2Pb2.

Unit cell a=8.1490 b=8.1490 c=3.7306 alpha=90.00 beta=90.00 gamma=90.00
With the nearest neighbours (Å) after each atom.
Space group P4/mbm (No. 127)
Unique sites:
Na 0.0000 0.0000 0.0000 x2  4 Zn 3.28, 8 Pb 3.51
Zn 0.1140 0.3860 0.0000 x4  1 Zn 2.63
Pb 0.1849 0.6849 0.5000 x4  6 Zn 2.97-3.12

The formation energy is 0.0305 eV/atom. The total magnetization is 0.00 μB per cell. As for the density of states at the Fermi level: 0.40 states/eV per atom. The calculation puts the energy relative to the lowest polymorph listed for this composition at 1.27 kJ/mol of atoms.

Record 4
A plane-wave DFT calculation with GGA-PBE was carried out for a relaxed structure of NaZn2Pb2.

Unit cell a=4.5874 b=4.5874 c=12.8219 alpha=90.00 beta=90.00 gamma=90.00
With the nearest neighbours (Å) after each atom.
Space group I4/mmm (No. 139)
Unique sites:
Na 0.0000 0.0000 0.0000 x2  8 Pb 3.59, 8 Zn 3.94
Zn 0.0000 0.5000 0.2500 x4  4 Pb 2.84
Pb 0.0000 0.0000 0.3806 x4  4 Zn 2.84, 1 Pb 3.06

The formation energy is 0.0701 eV/atom. The total magnetization is 0.00 μB per cell. As for the density of states at the Fermi level: 0.28 states/eV per atom. The calculation puts the energy relative to the lowest polymorph listed for this composition at 5.09 kJ/mol of atoms.

Record 5
A plane-wave DFT calculation with GGA-PBE was carried out for a relaxed structure of NaZn2Pb2.

Unit cell a=4.8529 b=4.8529 c=11.5664 alpha=90.00 beta=90.00 gamma=90.00
With the nearest neighbours (Å) after each atom.
Space group I4/mmm (No. 139)
Unique sites:
Na 0.0000 0.0000 0.0000 x2  8 Zn 3.64, 8 Pb 3.77
Zn 0.0000 0.0000 0.3952 x4  1 Zn 2.42
Pb 0.0000 0.5000 0.2500 x4  4 Zn 2.95

The formation energy is 0.0173 eV/atom. The total magnetization is 0.00 μB per cell. As for the density of states at the Fermi level: 0.35 states/eV per atom. The calculation puts the energy relative to the lowest polymorph listed for this composition at 0.00 kJ/mol of atoms.

Record 6
A plane-wave DFT calculation with GGA-PBE was carried out for a relaxed structure of Na12ZnPb7.

Unit cell a=18.7984 b=18.7984 c=6.5343 alpha=90.00 beta=90.00 gamma=120.00
With the nearest neighbours (Å) after each atom.
Space group R-3 (No. 148, hexagonal axes)
Unique sites:
Na 0.0242 0.4264 0.1009 x18  3 Pb 3.26-3.43, 5 Na 3.49-3.64
Na 0.0729 0.8675 0.8581 x18  5 Pb 3.28-3.59, 2 Na 3.60-3.64
Zn 0.0000 0.0000 0.5000 x3  8 Pb 2.97-3.27
Pb 0.0000 0.0000 0.0000 x3  2 Zn 3.27, 6 Na 3.51, 6 Pb 3.65
Pb 0.0500 0.8816 0.3551 x18  1 Zn 2.97, 3 Na 3.26-3.30

The formation energy is -0.0650 eV/atom. The total magnetization is 0.00 μB per cell. As for the density of states at the Fermi level: 0.41 states/eV per atom.

Record 7
A plane-wave DFT calculation with GGA-PBE was carried out for a relaxed structure of Na6ZnPb.

Unit cell a=6.1628 b=6.1685 c=6.2042 alpha=90.82 beta=90.77 gamma=90.46
With the nearest neighbours (Å) after each atom.
Space group P-1 (No. 2)
Unique sites:
Na 0.0019 0.0028 0.2479 x2  2 Na 3.08-3.13, 1 Zn 3.42, 1 Pb 3.44
Na 0.2526 0.4993 0.9978 x2  2 Na 3.05-3.11
Na 0.4982 0.2477 0.5026 x2  2 Na 3.06-3.11
Zn 0.0000 0.5000 0.5000 x1  12 Na 3.42-3.50
Pb 0.5000 0.0000 0.0000 x1  12 Na 3.43-3.46

The formation energy is -0.0220 eV/atom. The total magnetization is 0.00 μB per cell. As for the density of states at the Fermi level: 0.44 states/eV per atom.

Record 8
A plane-wave DFT calculation with GGA-PBE was carried out for a relaxed structure of NaZnPb3.

Unit cell a=5.5581 b=5.5581 c=5.5581 alpha=90.00 beta=90.00 gamma=90.00
With the nearest neighbours (Å) after each atom.
Space group Pm-3m (No. 221)
Unique sites:
Na 0.0000 0.0000 0.0000 x1  6 Pb 2.78
Zn 0.5000 0.5000 0.5000 x1  12 Pb 3.93
Pb 0.0000 0.0000 0.5000 x3  2 Na 2.78

The formation energy is 0.6135 eV/atom. The total magnetization is 0.00 μB per cell. As for the density of states at the Fermi level: 1.23 states/eV per atom. The calculation puts the energy relative to the lowest polymorph listed for this composition at 43.26 kJ/mol of atoms.

Record 9
A plane-wave DFT calculation with GGA-PBE was carried out for a relaxed structure of NaZnPb.

Unit cell a=3.5974 b=3.5974 c=11.7213 alpha=90.00 beta=90.00 gamma=90.00
With the nearest neighbours (Å) after each atom.
Space group I4mm (No. 107)
Unique sites:
Na 0.0000 0.0000 0.0000 x2  4 Zn 3.12, 4 Pb 3.43
Zn 0.0000 0.0000 0.3461 x2  4 Pb 3.09, 4 Na 3.12
Pb 0.0000 0.0000 0.6957 x2  4 Zn 3.09, 4 Na 3.43

The formation energy is 0.0154 eV/atom. The total magnetization is 0.00 μB per cell. As for the density of states at the Fermi level: 0.33 states/eV per atom. The calculation puts the energy relative to the lowest polymorph listed for this composition at 5.22 kJ/mol of atoms.

Record 10
A plane-wave DFT calculation with GGA-PBE was carried out for a relaxed structure of NaZr3Pb.

Unit cell a=5.0261 b=5.0261 c=5.0261 alpha=90.00 beta=90.00 gamma=90.00
With the nearest neighbours (Å) after each atom.
Space group Pm-3m (No. 221)
Unique sites:
Na 0.0000 0.0000 0.0000 x1  6 Zr 2.51
Zr 0.0000 0.0000 0.5000 x3  2 Na 2.51
Pb 0.5000 0.5000 0.5000 x1  12 Zr 3.55

The formation energy is 1.1790 eV/atom. The total magnetization is 0.68 μB per cell. As for the density of states at the Fermi level: 1.70 states/eV per atom. The calculation puts the energy relative to the lowest polymorph listed for this composition at 4.89 kJ/mol of atoms.

Record 11
A plane-wave DFT calculation with GGA-PBE was carried out for a relaxed structure of NaZr3Pb.

Unit cell a=5.5054 b=5.5054 c=5.5054 alpha=90.00 beta=90.00 gamma=90.00
With the nearest neighbours (Å) after each atom.
Space group Pm-3m (No. 221)
Unique sites:
Na 0.0000 0.0000 0.0000 x1  12 Zr 3.89
Zr 0.0000 0.5000 0.5000 x3  2 Pb 2.75
Pb 0.5000 0.5000 0.5000 x1  6 Zr 2.75

The formation energy is 1.1283 eV/atom. The total magnetization is 0.00 μB per cell. As for the density of states at the Fermi level: 1.92 states/eV per atom. The calculation puts the energy relative to the lowest polymorph listed for this composition at 0.00 kJ/mol of atoms.

Record 12
A plane-wave DFT calculation with GGA-PBE was carried out for a relaxed structure of NaZrPb.

Unit cell a=4.8028 b=4.8028 c=25.7611 alpha=90.00 beta=90.00 gamma=120.00
With the nearest neighbours (Å) after each atom.
Space group R-3m (No. 166, hexagonal axes)
Unique sites:
Na 0.0000 0.0000 0.1381 x6  3 Pb 3.12, 3 Na 3.14
Zr 0.0000 0.0000 0.2952 x6  4 Pb 3.00-3.10
Pb 0.0000 0.0000 0.4157 x6  4 Zr 3.00-3.10, 3 Na 3.12

The formation energy is 0.1714 eV/atom. The total magnetization is 4.27 μB per cell. As for the density of states at the Fermi level: 0.65 states/eV per atom.